[1]
! PBEsol SrNiW2, relaxed; values from VASP
&SYSTEM
  ibrav = 0, nat = 4, ntyp = 3
/
ATOMIC_SPECIES
W 183.84 W.upf
Sr 87.62 Sr.upf
Ni 58.69 Ni.upf
CELL_PARAMETERS angstrom
2.7296 0.0734 0.0000
-0.3111 2.7128 0.0000
0.0000 0.0000 9.1977
ATOMIC_POSITIONS crystal
W 0.0000 0.0000 0.3056
W 0.0000 0.0000 0.6944
Sr 0.5000 0.5000 0.0000
Ni 0.5000 0.5000 0.5000
! - Uncorrected energy: -32.376 eV/cell


[2]
! PBEsol Sr2SmGaCu2O7, relaxed; values from VASP
&SYSTEM
  ibrav = 0, nat = 26, ntyp = 5
/
ATOMIC_SPECIES
Cu 63.55 Cu.upf
Ga 69.72 Ga.upf
O 16.00 O.upf
Sr 87.62 Sr.upf
Sm 150.36 Sm.upf
CELL_PARAMETERS angstrom
5.3658 0.0000 0.0000
0.0000 5.4730 0.0000
-2.6829 -2.7365 11.4471
ATOMIC_POSITIONS crystal
Cu 0.0768 0.0731 0.1479
Cu 0.9290 0.9269 0.8521
Cu 0.5768 0.5747 0.1479
Cu 0.4290 0.4253 0.8521
Ga 0.7128 0.8195 0.5000
Ga 0.2128 0.1805 0.5000
O 0.1871 0.6839 0.8714
O 0.6870 0.1839 0.8672
O 0.7042 0.6323 0.3522
O 0.8521 0.7801 0.6478
O 0.3157 0.3161 0.1286
O 0.8157 0.3125 0.1286
O 0.2042 0.2199 0.3522
O 0.3611 0.8660 0.5000
O 0.3198 0.8167 0.1328
O 0.3521 0.3677 0.6478
O 0.1870 0.1833 0.8672
O 0.8198 0.8161 0.1328
O 0.6871 0.6875 0.8714
O 0.8611 0.1340 0.5000
Sr 0.3490 0.8325 0.6973
Sr 0.6517 0.1675 0.3027
Sr 0.8490 0.3648 0.6973
Sr 0.1517 0.6352 0.3027
Sm 0.5024 0.0000 0.0000
Sm 0.0024 0.5000 0.0000
! - Formation energy (no corrections): -2146.8 meV/atom


[3]
! PBEsol CaMgSb2, relaxed; values from VASP
&SYSTEM
  ibrav = 0, nat = 4, ntyp = 3
/
ATOMIC_SPECIES
Sb 121.76 Sb.upf
Ca 40.08 Ca.upf
Mg 24.30 Mg.upf
CELL_PARAMETERS angstrom
-2.5377 0.0433 2.6399
0.5968 -4.0428 0.6400
4.7747 1.4278 4.5664
ATOMIC_POSITIONS crystal
Sb 0.0000 0.0000 0.2643
Sb 0.0000 0.0000 0.7357
Ca 0.5000 0.5000 0.0000
Mg 0.5000 0.5000 0.5000
! - Formation energy (no corrections): -493.8 meV/atom


[4]
! PBEsol In5Cu, relaxed; values from VASP
&SYSTEM
  ibrav = 0, nat = 6, ntyp = 2
/
ATOMIC_SPECIES
In 114.82 In.upf
Cu 63.55 Cu.upf
CELL_PARAMETERS angstrom
3.1911 0.0000 0.0000
0.0000 3.1911 0.0000
0.0000 0.0000 13.3313
ATOMIC_POSITIONS crystal
In 0.5000 0.5000 0.3133
In 0.0000 0.0000 0.8747
In 0.0000 0.0000 0.5000
In 0.0000 0.0000 0.1253
In 0.5000 0.5000 0.6867
Cu 0.5000 0.5000 0.0000
! - Uncorrected energy: -18.976 eV/cell


Number 1: mass density 12.5 g/cm³. Number 2: mass density 6.3 g/cm³. Number 3: mass density 5.0 g/cm³. Number 4: mass density 7.8 g/cm³.